1.
## LiPmAu2 (SCAN)

Data for LiPmAu2 at its PBEsol-relaxed geometry.

Properties
Raw total energy, eV/cell: -188.020
Formation energy, eV per atom: -0.83
V, Å³ per cell: 81.9

Unit cell a=4.874 b=4.874 c=4.874 alpha=60.00 beta=60.00 gamma=60.00
Fractional positions:
Pm 0.000 0.000 0.000
Au 0.250 0.250 0.250
Au 0.750 0.750 0.750
Li 0.500 0.500 0.500

=====

2.
## K3YRe (SCAN)

Data for K3YRe at its PBEsol-relaxed geometry.

Properties
Raw total energy, eV/cell: -112.407
Formation energy, eV per atom: 2.30
V, Å³ per cell: 330.4

Unit cell a=6.913 b=6.913 c=6.913 alpha=90.00 beta=90.00 gamma=90.00
Fractional positions:
K 0.500 0.000 0.000
K 0.000 0.500 0.000
K 0.000 0.000 0.500
Y 0.000 0.000 0.000
Re 0.500 0.500 0.500

=====

3.
## TcMo (SCAN)

Data for TcMo at its PBEsol-relaxed geometry.

Properties
Raw total energy, eV/cell: -69.835
Formation energy, eV per atom: 0.06
V, Å³ per cell: 29.4

Unit cell a=3.086 b=3.086 c=3.086 alpha=90.00 beta=90.00 gamma=90.00
Fractional positions:
Mo 0.000 0.000 0.000
Tc 0.500 0.500 0.500

=====

Question: Which of these has the lowest raw total energy?
Answer: LiPmAu2

=====

What did the second record say?
## K3YRe (SCAN)

Data for K3YRe at its PBEsol-relaxed geometry.

Properties
Raw total energy, eV/cell: -112.407
Formation energy, eV per atom: 2.30
V, Å³ per cell: 330.4

Unit cell a=6.913 b=6.913 c=6.913 alpha=90.00 beta=90.00 gamma=90.00
Fractional positions:
K 0.500 0.000 0.000
K 0.000 0.500 0.000
K 0.000 0.000 0.500
Y 0.000 0.000 0.000
Re 0.500 0.500 0.500